MgZr2 | SCAN | single point on PBEsol structure

For the density, the calculation gives 5.0 g/cm3. The calculation puts the formation energy at 0.84 kcal/mol of atoms. The density of states at the Fermi level comes out at 1.7 states/eV/f.u. For the magnetization, the calculation gives 0.069 μB per cell. The value obtained for the total energy is -22.087 eV/atom.

The space group is R-3m (No. 166, hexagonal axes) and the conventional cell measures 3.1865, 3.1865 and 23.2009 Å, with angles of 90.00, 90.00 and 120.00 degrees. The inequivalent atoms are Mg at (0.0000, 0.0000, 0.0000) and Zr at (0.0000, 0.0000, 0.2193).

MgZr2 | SCAN | single point on PBEsol structure

For the density, the calculation gives 5.3 g/cm3. The calculation puts the formation energy at 1.10 kcal/mol of atoms. The density of states at the Fermi level comes out at 2.7 states/eV/f.u. For the magnetization, the calculation gives 0.000 μB per cell. The value obtained for the total energy is -22.076 eV/atom.

The space group is Pnma (No. 62) and the conventional cell measures 6.265, 4.443 and 9.381 Å, with angles of 90.00, 90.00 and 90.00 degrees. The inequivalent atoms are Mg at (0.110, 0.250, 0.080), Zr at (0.102, 0.250, 0.413) and Zr at (0.146, 0.250, 0.744).

Mg7Zr | SCAN | single point on PBEsol structure

For the density, the calculation gives 2.4 g/cm3. The calculation puts the formation energy at 0.99 kcal/mol of atoms. The density of states at the Fermi level comes out at 5.5 states/eV/f.u. For the magnetization, the calculation gives 4.217 μB per cell. The value obtained for the total energy is -8.147 eV/atom.

The space group is Fm-3m (No. 225) and the conventional cell measures 8.931, 8.931 and 8.931 Å, with angles of 90.00, 90.00 and 90.00 degrees. The inequivalent atoms are Mg at (0.000, 0.000, 0.000), Mg at (0.000, 0.250, 0.250) and Zr at (0.000, 0.000, 0.500).

MgZr2 | SCAN | single point on PBEsol structure

For the density, the calculation gives 5.0 g/cm3. The calculation puts the formation energy at 1.16 kcal/mol of atoms. The density of states at the Fermi level comes out at 2.6 states/eV/f.u. For the magnetization, the calculation gives 0.063 μB per cell. The value obtained for the total energy is -22.073 eV/atom.

The space group is P-3m1 (No. 164) and the conventional cell measures 3.1865, 3.1865 and 7.7522 Å, with angles of 90.00, 90.00 and 120.00 degrees. The inequivalent atoms are Mg at (0.0000, 0.0000, 0.0000) and Zr at (0.3333, 0.6667, 0.6571).

MgZr4 | SCAN | single point on PBEsol structure

For the density, the calculation gives 5.9 g/cm3. The calculation puts the formation energy at 1.09 kcal/mol of atoms. The density of states at the Fermi level comes out at 5.6 states/eV/f.u. For the magnetization, the calculation gives 0.002 μB per cell. The value obtained for the total energy is -25.507 eV/atom.

The space group is I4/m (No. 87) and the conventional cell measures 7.140, 7.140 and 4.312 Å, with angles of 90.00, 90.00 and 90.00 degrees. The inequivalent atoms are Mg at (0.000, 0.000, 0.000) and Zr at (0.111, 0.309, 0.500).

MgZr4 | SCAN | single point on PBEsol structure

For the density, the calculation gives 5.5 g/cm3. The calculation puts the formation energy at 11.12 kcal/mol of atoms. The density of states at the Fermi level comes out at 5.0 states/eV/f.u. For the magnetization, the calculation gives 0.000 μB per cell. The value obtained for the total energy is -25.072 eV/atom.

The space group is I4/mmm (No. 139) and the conventional cell measures 4.112, 4.112 and 14.009 Å, with angles of 90.00, 90.00 and 90.00 degrees. The inequivalent atoms are Mg at (0.000, 0.000, 0.000), Zr at (0.000, 0.000, 0.409) and Zr at (0.000, 0.500, 0.250).

Mg2Zr | SCAN | single point on PBEsol structure

For the density, the calculation gives 3.4 g/cm3. The calculation puts the formation energy at 2.97 kcal/mol of atoms. The density of states at the Fermi level comes out at 2.7 states/eV/f.u. For the magnetization, the calculation gives 0.002 μB per cell. The value obtained for the total energy is -13.420 eV/atom.

The space group is I4_1/amd (No. 141, origin choice 2) and the conventional cell measures 2.991, 2.991 and 30.402 Å, with angles of 90.00, 90.00 and 90.00 degrees. The inequivalent atoms are Mg at (0.000, 0.250, 0.296) and Zr at (0.000, 0.250, 0.875).

Mg3Zr4 | SCAN | single point on PBEsol structure

For the density, the calculation gives 4.8 g/cm3. The calculation puts the formation energy at 2.36 kcal/mol of atoms. The density of states at the Fermi level comes out at 9.0 states/eV/f.u. For the magnetization, the calculation gives 0.000 μB per cell. The value obtained for the total energy is -19.571 eV/atom.

The space group is P6/mmm (No. 191) and the conventional cell measures 5.5550, 5.5550 and 5.6602 Å, with angles of 90.00, 90.00 and 120.00 degrees. The inequivalent atoms are Mg at (0.0000, 0.5000, 0.0000), Zr at (0.0000, 0.0000, 0.2728) and Zr at (0.3333, 0.6667, 0.5000).

MgZr2 | SCAN | single point on PBEsol structure

For the density, the calculation gives 5.2 g/cm3. The calculation puts the formation energy at 1.76 kcal/mol of atoms. The density of states at the Fermi level comes out at 3.2 states/eV/f.u. For the magnetization, the calculation gives 0.000 μB per cell. The value obtained for the total energy is -22.048 eV/atom.

The space group is Cmcm (No. 63) and the conventional cell measures 3.102, 16.152 and 5.225 Å, with angles of 90.00, 90.00 and 90.00 degrees. The inequivalent atoms are Mg at (0.000, 0.107, 0.250), Zr at (0.000, 0.226, 0.750) and Zr at (0.000, 0.437, 0.250).

Mg2Zr | SCAN | single point on PBEsol structure

For the density, the calculation gives 3.5 g/cm3. The calculation puts the formation energy at 1.20 kcal/mol of atoms. The density of states at the Fermi level comes out at 2.4 states/eV/f.u. For the magnetization, the calculation gives 0.984 μB per cell. The value obtained for the total energy is -13.497 eV/atom.

The space group is Cm (No. 8) and the conventional cell measures 12.002, 2.974 and 7.698 Å, with angles of 90.00, 105.11 and 90.00 degrees. The inequivalent atoms are Mg at (0.000, 0.000, 0.000), Mg at (0.062, 0.000, 0.628), Mg at (0.231, 0.500, 0.963), Mg at (0.400, 0.000, 0.296), Zr at (0.175, 0.500, 0.348) and Zr at (0.324, 0.000, 0.654).

Mg2Zr | SCAN | single point on PBEsol structure

For the density, the calculation gives 3.6 g/cm3. The calculation puts the formation energy at -0.09 kcal/mol of atoms. The density of states at the Fermi level comes out at 1.6 states/eV/f.u. For the magnetization, the calculation gives 1.235 μB per cell. The value obtained for the total energy is -13.553 eV/atom.

The space group is I4/mmm (No. 139) and the conventional cell measures 3.135, 3.135 and 13.221 Å, with angles of 90.00, 90.00 and 90.00 degrees. The inequivalent atoms are Mg at (0.000, 0.000, 0.166) and Zr at (0.000, 0.000, 0.500).

MgZr2 | SCAN | single point on PBEsol structure

For the density, the calculation gives 5.3 g/cm3. The calculation puts the formation energy at 1.47 kcal/mol of atoms. The density of states at the Fermi level comes out at 3.6 states/eV/f.u. For the magnetization, the calculation gives 0.001 μB per cell. The value obtained for the total energy is -22.060 eV/atom.

The space group is I4_1/amd (No. 141, origin choice 2) and the conventional cell measures 4.429, 4.429 and 26.482 Å, with angles of 90.00, 90.00 and 90.00 degrees. The inequivalent atoms are Mg at (0.000, 0.250, 0.290), Zr at (0.000, 0.250, 0.123) and Zr at (0.000, 0.250, 0.794).